A relaxed Tl2Ga2Bi crystal. Source: the Alexandria database, functional PBE.

abc: 8.965 8.965 3.360
angles: 90.00 90.00 90.00
Atoms (fractional coordinates):
Tl (0.143, 0.357, 0.000)
Tl (0.357, 0.857, 0.000)
Tl (0.643, 0.143, 0.000)
Tl (0.857, 0.643, 0.000)
Ga (0.155, 0.655, 0.500)
Ga (0.345, 0.155, 0.500)
Ga (0.655, 0.845, 0.500)
Ga (0.845, 0.345, 0.500)
Bi (0.000, 0.000, 0.000)
Bi (0.500, 0.500, 0.000)

## Properties
space-group type = P4/mbm
calculated formation energy = 0.7 eV/f.u.
raw total energy = -2.79 eV/atom